## MoCl2F (GGA+U)

Data for a geometry-optimized MoCl2F structure.

It has space group R-3m (No. 166, hexagonal axes), with a = 3.7544 Å, b = 3.7544 Å, c = 22.2870 Å, α = 90.00°, β = 90.00° and γ = 120.00°. Symmetry generates all atoms from Mo at (0.0000, 0.0000, 0.0000), Cl at (0.0000, 0.0000, 0.3955) and F at (0.0000, 0.0000, 0.5000).

Its energy above the most stable polymorph in this dataset is 852 meV per atom. For the total moment, the calculation gives 3.00 μB/f.u. The calculated volume is 22.67 Å³/atom.